Material: CoTcN2O
Method: DFT, GGA+U
State: optimized geometry

Geometry as CIF:
```
data_CoTcN2O
_cell_length_a 4.0795
_cell_length_b 4.0795
_cell_length_c 3.5710
_cell_angle_alpha 90.00
_cell_angle_beta 90.00
_cell_angle_gamma 90.00
_symmetry_space_group_name_H-M 'P 1'
_symmetry_Int_Tables_number 1
_symmetry_space_group_name_Hall 'P 1'
loop_
_atom_site_label
_atom_site_fract_x
_atom_site_fract_y
_atom_site_fract_z
_atom_site_occupancy
Co1 0.0000 0.0000 0.0000 1
Tc1 0.5000 0.5000 0.0000 1
N1 0.0000 0.5000 0.5000 1
N2 0.5000 0.0000 0.5000 1
O1 0.5000 0.5000 0.5000 1
```

- Magnetization: 2.74 μB per cell
- Raw total energy: -5.48 eV/atom
- Calculated density: 5.615 g/cm³